(1)
Here is a geometry-optimized Ce5O9 structure from the Alexandria database. Energies are from PBE-GGA.

Properties
- space-group type = P-1
- offset from the most stable computed form (meV/atom) = 0.0
- theoretical density (g/cm³) = 6.665
- ΔE_f (raw) (eV per atom) = -3.482

abc: 6.774 7.808 8.731
angles: 76.90 74.64 73.30
Fractional positions:
Ce  0.022  0.245  0.481
Ce  0.205  0.066  0.084
Ce  0.210  0.537  0.087
Ce  0.370  0.359  0.689
Ce  0.396  0.854  0.701
Ce  0.604  0.146  0.299
Ce  0.630  0.641  0.311
Ce  0.790  0.463  0.913
Ce  0.795  0.934  0.916
Ce  0.978  0.755  0.519
O  0.014  0.433  0.660
O  0.023  0.975  0.666
O  0.140  0.354  0.946
O  0.177  0.840  0.966
O  0.262  0.249  0.236
O  0.327  0.659  0.531
O  0.351  0.152  0.540
O  0.468  0.524  0.835
O  0.473  0.077  0.839
O  0.527  0.923  0.161
O  0.532  0.476  0.165
O  0.649  0.848  0.460
O  0.673  0.341  0.469
O  0.738  0.751  0.764
O  0.823  0.160  0.034
O  0.860  0.646  0.054
O  0.977  0.025  0.334
O  0.986  0.567  0.340



(2)
Here is a geometry-optimized CdSiRh structure from the Alexandria database. Energies are from PBE-GGA.

Properties
- space-group type = I4mm
- theoretical density (g/cm³) = 8.235
- ΔE_f (raw) (eV per atom) = -0.300

abc: 3.169 3.169 9.775
angles: 90.00 90.00 90.00
Fractional positions:
Cd  0.000  0.000  0.000
Cd  0.500  0.500  0.500
Si  0.000  0.000  0.701
Si  0.500  0.500  0.201
Rh  0.000  0.000  0.300
Rh  0.500  0.500  0.800



(3)
Here is a geometry-optimized Hf6TiSn structure from the Alexandria database. Energies are from PBE-GGA.

Properties
- space-group type = P-1
- calculated formation energy (meV per atom) = -45
- theoretical density (g/cm³) = 11.894

abc: 5.568 5.570 5.571
angles: 90.18 90.10 90.05
Fractional positions:
Hf  0.000  0.007  0.246
Hf  0.000  0.993  0.754
Hf  0.246  0.500  0.504
Hf  0.500  0.254  0.001
Hf  0.500  0.746  0.999
Hf  0.754  0.500  0.496
Ti  0.000  0.500  0.000
Sn  0.500  0.000  0.500



(4)
Here is a geometry-optimized Hf3Ga2Rh structure from the Alexandria database. Energies are from PBE-GGA.

Properties
- space-group type = Pnma
- calculated formation energy (meV per atom) = -544
- theoretical density (g/cm³) = 11.573

abc: 10.861 4.260 9.648
angles: 90.00 90.00 90.00
Fractional positions:
Hf  0.040  0.250  0.145
Hf  0.160  0.750  0.603
Hf  0.221  0.250  0.828
Hf  0.279  0.750  0.328
Hf  0.340  0.250  0.103
Hf  0.460  0.750  0.645
Hf  0.540  0.250  0.355
Hf  0.660  0.750  0.897
Hf  0.721  0.250  0.672
Hf  0.779  0.750  0.172
Hf  0.840  0.250  0.397
Hf  0.960  0.750  0.855
Ga  0.001  0.750  0.343
Ga  0.170  0.750  0.031
Ga  0.330  0.250  0.531
Ga  0.499  0.250  0.843
Ga  0.501  0.750  0.157
Ga  0.670  0.750  0.469
Ga  0.830  0.250  0.969
Ga  0.999  0.250  0.657
Rh  0.123  0.250  0.405
Rh  0.377  0.750  0.905
Rh  0.623  0.250  0.095
Rh  0.877  0.750  0.595



(5)
Here is a geometry-optimized NaPdCl structure from the Alexandria database. Energies are from PBE-GGA.

Properties
- space-group type = Pm
- offset from the most stable computed form (meV/atom) = 0.9
- theoretical density (g/cm³) = 4.356
- ΔE_f (raw) (eV per atom) = -0.777

abc: 3.464 3.555 10.224
angles: 90.00 93.58 90.00
Fractional positions:
Na  0.000  0.000  0.000
Na  0.065  0.500  0.345
Pd  0.456  0.500  0.773
Pd  0.946  0.000  0.685
Cl  0.523  0.500  0.126
Cl  0.589  0.000  0.461



(6)
Here is a geometry-optimized Na2LiGeI5 structure from the Alexandria database. Energies are from PBE-GGA.

Properties
- space-group type = Cmc2_1
- theoretical density (g/cm³) = 3.482
- ΔE_f (raw) (eV per atom) = -0.909

abc: 9.869 9.869 16.935
angles: 90.00 90.00 153.93
Fractional positions:
Na  0.044  0.956  0.500
Na  0.075  0.925  0.766
Na  0.925  0.075  0.266
Na  0.956  0.044  0.000
Li  0.364  0.636  0.508
Li  0.636  0.364  0.008
Ge  0.271  0.729  0.120
Ge  0.729  0.271  0.620
I  0.115  0.885  0.101
I  0.218  0.782  0.491
I  0.238  0.762  0.740
I  0.429  0.571  0.132
I  0.468  0.532  0.392
I  0.532  0.468  0.892
I  0.571  0.429  0.632
I  0.762  0.238  0.240
I  0.782  0.218  0.991
I  0.885  0.115  0.601



(7)
Here is a geometry-optimized MnCd2Co structure from the Alexandria database. Energies are from PBE-GGA.

Properties
- space-group type = R-3m
- offset from the most stable computed form (meV/atom) = 245.0
- calculated formation energy (meV per atom) = 395
- theoretical density (g/cm³) = 8.334

abc: 2.905 2.905 27.705
angles: 90.00 90.00 120.00
Fractional positions:
Mn  0.000  0.000  0.000
Mn  0.333  0.667  0.667
Mn  0.667  0.333  0.333
Cd  0.000  0.000  0.247
Cd  0.000  0.000  0.753
Cd  0.333  0.667  0.420
Cd  0.333  0.667  0.913
Cd  0.667  0.333  0.087
Cd  0.667  0.333  0.580
Co  0.000  0.000  0.500
Co  0.333  0.667  0.167
Co  0.667  0.333  0.833



(8)
Here is a geometry-optimized Tb3ZnAg structure from the Alexandria database. Energies are from PBE-GGA.

Properties
- space-group type = P2_1/c
- offset from the most stable computed form (meV/atom) = 77.5
- calculated formation energy (meV per atom) = -163
- theoretical density (g/cm³) = 8.305

abc: 6.956 7.551 9.932
angles: 90.00 94.71 90.00
Fractional positions:
Tb  0.171  0.146  0.402
Tb  0.171  0.354  0.902
Tb  0.222  0.536  0.591
Tb  0.222  0.964  0.091
Tb  0.321  0.531  0.227
Tb  0.321  0.969  0.727
Tb  0.679  0.031  0.273
Tb  0.679  0.469  0.773
Tb  0.778  0.036  0.909
Tb  0.778  0.464  0.409
Tb  0.829  0.646  0.098
Tb  0.829  0.854  0.598
Zn  0.045  0.726  0.857
Zn  0.045  0.774  0.357
Zn  0.955  0.226  0.643
Zn  0.955  0.274  0.143
Ag  0.437  0.687  0.946
Ag  0.437  0.813  0.446
Ag  0.563  0.187  0.554
Ag  0.563  0.313  0.054



Which of these has the lowest theoretical density? Na2LiGeI5